# 1
This record from the Alexandria database describes Pm3Mg4Sn3 after structural relaxation. The functional is GGA-PBE.

The formation energy comes out at -390 meV/atom.

The structure belongs to space group I-43d (No. 220); the cell edges are 10.383, 10.383 and 10.383 Å and the angles 90.00°, 90.00° and 90.00°. Symmetry generates all atoms from Pm at (0.000, 0.250, 0.875), Mg at (0.089, 0.411, 0.589) and Sn at (0.000, 0.250, 0.375).

=====

# 2
This record from the Alexandria database describes CaScCd2 after structural relaxation. The functional is GGA-PBE.

The formation energy comes out at 83 meV/atom.

The structure belongs to space group I-42d (No. 122); the cell edges are 8.150, 8.150 and 6.822 Å and the angles 90.00°, 90.00° and 90.00°. Symmetry generates all atoms from Ca at (0.000, 0.000, 0.000), Sc at (0.000, 0.000, 0.500) and Cd at (0.228, 0.250, 0.625).